(1)
# Pr7Ge2O2 | Alexandria via LeMat-Bulk | PBE | optimized geometry
data_Pr7Ge2O2
_chemical_formula_sum 'Pr14 Ge4 O4'
_cell_length_a 12.6399
_cell_length_b 7.3629
_cell_length_c 6.4880
_cell_angle_alpha 90.00
_cell_angle_beta 98.46
_cell_angle_gamma 90.00
_space_group_name_H-M_alt 'C 1 2/m 1'
_space_group_IT_number 12
_space_group_name_Hall '-C 2y'
loop_
_atom_site_label
_atom_site_fract_x
_atom_site_fract_y
_atom_site_fract_z
_atom_site_occupancy
Pr1 0.0000 0.0000 0.0000 1
Pr2 0.0442 0.5000 0.2617 1
Pr3 0.2174 0.2561 0.7570 1
Ge1 0.0000 0.1661 0.5000 1
O1 0.1942 0.0000 0.0174 1
# DOS(E_F)	1.023	states/eV/atom
# raw formation energy	-1.0486	eV/atom
# magnetic moment	0.000	μB per atom

---

(2)
# Si2AgSb | Alexandria via LeMat-Bulk | PBE | optimized geometry
data_Si2AgSb
_chemical_formula_sum 'Si2 Ag1 Sb1'
_cell_length_a 2.9183
_cell_length_b 3.5142
_cell_length_c 7.6461
_cell_angle_alpha 90.00
_cell_angle_beta 90.05
_cell_angle_gamma 90.00
_space_group_name_H-M_alt 'P 1 m 1'
_space_group_IT_number 6
_space_group_name_Hall 'P -2y'
loop_
_atom_site_label
_atom_site_fract_x
_atom_site_fract_y
_atom_site_fract_z
_atom_site_occupancy
Si1 0.0000 0.0000 0.0000 1
Si2 0.4988 0.5000 0.8410 1
Ag1 0.0008 0.0000 0.6132 1
Sb1 0.0031 0.5000 0.3013 1
# DOS(E_F)	0.347	states/eV/atom
# raw formation energy	0.3291	eV/atom
# magnetic moment	0.000	μB per atom

---

(3)
# Nd6AgPt2 | Alexandria via LeMat-Bulk | PBE | optimized geometry
data_Nd6AgPt2
_chemical_formula_sum 'Nd24 Ag4 Pt8'
_cell_length_a 9.6202
_cell_length_b 10.0944
_cell_length_c 10.7108
_cell_angle_alpha 90.00
_cell_angle_beta 90.00
_cell_angle_gamma 90.00
_space_group_name_H-M_alt 'I m m m'
_space_group_IT_number 71
_space_group_name_Hall '-I 2 2'
loop_
_atom_site_label
_atom_site_fract_x
_atom_site_fract_y
_atom_site_fract_z
_atom_site_occupancy
Nd1 0.0000 0.1955 0.2340 1
Nd2 0.1989 0.5000 0.1705 1
Nd3 0.2131 0.3219 0.5000 1
Ag1 0.0000 0.0000 0.0000 1
Ag2 0.0000 0.0000 0.5000 1
Pt1 0.0000 0.3433 0.0000 1
Pt2 0.0000 0.5000 0.3674 1
# DOS(E_F)	1.037	states/eV/atom
# formation energy	-0.574	eV per atom
# magnetic moment	0.000	μB per atom
# energy above the most stable polymorph in this dataset	0.0	meV per atom

---

(4)
# Ba2SrAl2As4 | Alexandria via LeMat-Bulk | PBE | optimized geometry
data_Ba2SrAl2As4
_chemical_formula_sum 'Ba4 Sr2 Al4 As8'
_cell_length_a 16.4726
_cell_length_b 4.2321
_cell_length_c 7.9691
_cell_angle_alpha 90.00
_cell_angle_beta 110.51
_cell_angle_gamma 90.00
_space_group_name_H-M_alt 'C 1 2/m 1'
_space_group_IT_number 12
_space_group_name_Hall '-C 2y'
loop_
_atom_site_label
_atom_site_fract_x
_atom_site_fract_y
_atom_site_fract_z
_atom_site_occupancy
Ba1 0.1251 0.0000 0.0483 1
Sr1 0.0000 0.0000 0.5000 1
Al1 0.1715 0.5000 0.4730 1
As1 0.0289 0.5000 0.2391 1
As2 0.2120 0.0000 0.6772 1
# DOS(E_F)	0.028	states/eV/atom
# formation energy	-0.943	eV per atom
# magnetic moment	0.000	μB per atom

---

(5)
# AcTm2Cd | Alexandria via LeMat-Bulk | PBE | optimized geometry
data_AcTm2Cd
_chemical_formula_sum 'Ac3 Tm6 Cd3'
_cell_length_a 3.5626
_cell_length_b 3.5626
_cell_length_c 35.8176
_cell_angle_alpha 90.00
_cell_angle_beta 90.00
_cell_angle_gamma 120.00
_space_group_name_H-M_alt 'R -3 m'
_space_group_IT_number 166
_space_group_name_Hall '-R 3 2"'
loop_
_atom_site_label
_atom_site_fract_x
_atom_site_fract_y
_atom_site_fract_z
_atom_site_occupancy
Ac1 0.0000 0.0000 0.0000 1
Tm1 0.0000 0.0000 0.0990 1
Cd1 0.0000 0.0000 0.5000 1
# DOS(E_F)	1.283	states/eV/atom
# formation energy	0.153	eV per atom
# magnetic moment	0.000	μB per atom
# energy above the most stable polymorph in this dataset	254.8	meV per atom

---

(6)
# Ba2Mg6ZnIn | Alexandria via LeMat-Bulk | PBE | optimized geometry
data_Ba2Mg6ZnIn
_chemical_formula_sum 'Ba2 Mg6 Zn1 In1'
_cell_length_a 7.3183
_cell_length_b 7.3185
_cell_length_c 7.7871
_cell_angle_alpha 62.10
_cell_angle_beta 62.10
_cell_angle_gamma 60.05
_space_group_name_H-M_alt 'P -1'
_space_group_IT_number 2
_space_group_name_Hall '-P 1'
loop_
_atom_site_label
_atom_site_fract_x
_atom_site_fract_y
_atom_site_fract_z
_atom_site_occupancy
Ba1 0.2060 0.2059 0.3808 1
Mg1 0.2400 0.6587 0.8581 1
Mg2 0.2422 0.2409 0.8582 1
Mg3 0.3412 0.7585 0.1420 1
Zn1 0.0000 0.0000 0.0000 1
In1 0.5000 0.5000 0.5000 1
# DOS(E_F)	0.594	states/eV/atom
# formation energy	-0.092	eV per atom
# magnetic moment	0.000	μB per atom

---

(7)
# Dy12Er7Bi | Alexandria via LeMat-Bulk | PBE | optimized geometry
data_Dy12Er7Bi
_chemical_formula_sum 'Dy36 Er21 Bi3'
_cell_length_a 11.9347
_cell_length_b 11.9347
_cell_length_c 15.3473
_cell_angle_alpha 90.00
_cell_angle_beta 90.00
_cell_angle_gamma 120.00
_space_group_name_H-M_alt 'R -3'
_space_group_IT_number 148
_space_group_name_Hall '-R 3'
loop_
_atom_site_label
_atom_site_fract_x
_atom_site_fract_y
_atom_site_fract_z
_atom_site_occupancy
Dy1 0.0255 0.5763 0.2107 1
Dy2 0.0557 0.4690 0.5863 1
Er1 0.0000 0.0000 0.0000 1
Er2 0.0519 0.8643 0.2998 1
Bi1 0.0000 0.0000 0.5000 1
# DOS(E_F)	1.715	states/eV/atom
# formation energy	0.132	eV per atom
# magnetic moment	0.000	μB per atom

---

(8)
# CePmCoAg | Alexandria via LeMat-Bulk | PBE | optimized geometry
data_CePmCoAg
_chemical_formula_sum 'Ce4 Pm4 Co4 Ag4'
_cell_length_a 7.1523
_cell_length_b 7.1523
_cell_length_c 7.1523
_cell_angle_alpha 90.00
_cell_angle_beta 90.00
_cell_angle_gamma 90.00
_space_group_name_H-M_alt 'F -4 3 m'
_space_group_IT_number 216
_space_group_name_Hall 'F -4 2 3'
loop_
_atom_site_label
_atom_site_fract_x
_atom_site_fract_y
_atom_site_fract_z
_atom_site_occupancy
Ce1 0.0000 0.0000 0.0000 1
Pm1 0.0000 0.0000 0.5000 1
Co1 0.2500 0.2500 0.2500 1
Ag1 0.2500 0.2500 0.7500 1
# DOS(E_F)	1.875	states/eV/atom
# formation energy	-0.021	eV per atom
# magnetic moment	0.094	μB per atom